Compound: FeHI2O
Source: the Alexandria database
Functional: PBE with a Hubbard U
Structure: relaxed

## Properties
The magnetic moment comes out at 3.777 μB per formula unit. As for the energy: -15.76 eV per cell. The calculation puts the density of states at the Fermi level at 6.26 states/eV/cell.

abc: 6.052 6.052 3.543
angles: 90.00 90.00 90.00
Element x y z (fractional)
O  0.000  0.000  0.500
H  0.500  0.500  0.500
I  0.500  0.000  0.000
Fe  0.000  0.000  0.000
I  0.000  0.500  0.000